RbMnB3 | GGA-PBE | optimized geometry

a b c (Å): 4.7013 4.7013 4.7013
angles (deg): 90.00 90.00 90.00
With the nearest neighbours (Å) after each atom.
Space group Pm-3m (No. 221)
Asymmetric unit:
Rb 0.0000 0.0000 0.0000 [1 per cell]  6 B 2.35
Mn 0.5000 0.5000 0.5000 [1 per cell]  12 B 3.32
B 0.0000 0.0000 0.5000 [3 per cell]  2 Rb 2.35

## Properties
Energy of formation from the pure elements = 3.5159 eV/atom
Mass density = 2.8 Mg/m³
Energy above the most stable polymorph in this dataset = 12.73 eV/f.u.



RbMn2B | GGA-PBE | optimized geometry

a b c (Å): 6.6083 6.6083 9.3358
angles (deg): 90.00 90.00 90.00
With the nearest neighbours (Å) after each atom.
Space group I4_1/amd (No. 141, origin choice 2)
Asymmetric unit:
Rb 0.0000 0.2500 0.3750 [4 per cell]  12 Mn 3.87, 4 Rb 4.05, 4 B 4.05
Mn 0.0000 0.0000 0.0000 [8 per cell]  2 B 2.02
B 0.0000 0.2500 0.8750 [4 per cell]  4 Mn 2.02

## Properties
Energy of formation from the pure elements = 0.8106 eV/atom
Mass density = 3.4 Mg/m³



Rb2MnB2S6 | GGA-PBE | optimized geometry

a b c (Å): 6.4479 6.4479 21.6368
angles (deg): 90.00 90.00 120.00
With the nearest neighbours (Å) after each atom.
Space group R-3m (No. 166, hexagonal axes)
Asymmetric unit:
Rb 0.0000 0.0000 0.2143 [6 per cell]  9 S 3.39-3.66
Mn 0.0000 0.0000 0.0000 [3 per cell]  6 S 2.44
B 0.0000 0.0000 0.3930 [6 per cell]  3 S 1.82
S 0.0091 0.5045 0.2631 [18 per cell]  1 B 1.82

## Properties
ΔE_f (raw) = -0.5671 eV/atom
Mass density = 2.8 Mg/m³



Spin magnetization: 4.9, 30.8, 10.8 (Bohr magnetons per cell)